Record 1
The following is a PBE-GGA calculation of an optimized crystal structure of ZnSi2TcP, from Alexandria via LeMat-Bulk.

The structure in extended XYZ format:
```
5
Lattice="4.556 0.000 0.000 0.000 4.556 0.000 0.000 0.000 4.592" Properties=species:S:1:pos:R:3 pbc="T T T"
Zn 0.000 0.000 0.000
Si 0.000 2.278 0.000
Si 2.278 0.000 0.000
Tc 2.278 2.278 2.296
P 0.000 0.000 2.296
```

Summary:
Total moment (μB/f.u.): 2.769
Mass density (g/cm³): 4.37
Crystal system: tetragonal
Density of states at the Fermi level (states/eV/f.u.): 4.69
E_form (uncorrected) (eV/atom): 1.3913

***

Record 2
The following is a PBE-GGA calculation of an optimized crystal structure of SiTeP2, from Alexandria via LeMat-Bulk.

The structure in extended XYZ format:
```
4
Lattice="3.344 0.000 0.000 0.000 4.495 0.000 0.000 0.000 4.875" Properties=species:S:1:pos:R:3 pbc="T T T"
Si 0.000 0.000 0.000
Te 1.672 0.000 2.438
P 0.000 2.248 2.438
P 1.672 2.248 0.000
```

Summary:
Total moment (μB/f.u.): 0.000
Mass density (g/cm³): 4.93
Crystal system: orthorhombic
Density of states at the Fermi level (states/eV/f.u.): 2.23
Energy above the lowest structure with this stoichiometry (eV/f.u.): 2.33
E_form (uncorrected) (eV/atom): 0.7661